Record 1
Compound: Zn2MoRh
Source: Alexandria
Functional: PBE
Structure: optimized geometry

a b c (Å): 2.767 2.767 7.556
angles (deg): 90.00 90.00 89.97
Sites, in units of the cell vectors:
Zn1 0.000 0.000 0.515
Zn2 0.000 0.000 0.985
Rh1 0.500 0.500 0.750
Mo1 0.500 0.500 0.250

Computed properties:
**Crystal system**: tetragonal
**SG**: P4/mmm, No. 123
**Formation energy from the elements**: -0.04 eV per atom
**Density**: 9.5 g cm⁻³
**Offset from the most stable computed form**: 0.1115 eV per atom

=====

Record 2
Compound: RbPb2F5
Source: Alexandria
Functional: PBE
Structure: optimized geometry

a b c (Å): 3.792 6.391 7.493
angles (deg): 115.24 104.66 90.00
Sites, in units of the cell vectors:
F1 0.347 0.089 0.694
F2 0.000 0.500 0.000
F3 0.347 0.605 0.694
F4 0.653 0.395 0.306
F5 0.653 0.911 0.306
Pb1 0.820 0.320 0.641
Pb2 0.180 0.680 0.359
Rb1 0.000 0.000 0.000

Computed properties:
**Crystal system**: orthorhombic
**SG**: Immm, No. 71
**Formation energy (no corrections)**: -2.441 eV/atom
**Density**: 6.3 g cm⁻³

=====

Record 3
Compound: SrHSN2
Source: Alexandria
Functional: PBE
Structure: optimized geometry

a b c (Å): 4.252 4.252 3.437
angles (deg): 90.00 90.00 90.00
Site moments in Bohr magnetons follow the coordinates.
Sites, in units of the cell vectors:
N1 0.000 0.500 0.000  0.57
N2 0.500 0.000 0.000  0.57
H1 0.000 0.000 0.000  -0.01
S1 0.000 0.000 0.500  0.01
Sr1 0.500 0.500 0.500  0.00

Computed properties:
**Crystal system**: tetragonal
**SG**: P4/mmm, No. 123
**Density**: 4.0 g cm⁻³
**Offset from the most stable computed form**: 0.0000 eV per atom

=====

Record 4
Compound: MnTl2Au
Source: Alexandria
Functional: PBE
Structure: optimized geometry

a b c (Å): 4.983 4.983 5.579
angles (deg): 77.57 77.57 42.12
Site moments in Bohr magnetons follow the coordinates.
Sites, in units of the cell vectors:
Tl1 0.498 0.498 0.497  0.00
Tl2 0.002 0.002 0.003  0.00
Mn1 0.250 0.250 0.250  4.06
Au1 0.750 0.750 0.750  0.05

Computed properties:
**Crystal system**: monoclinic
**SG**: C2/m, No. 12
**Formation energy from the elements**: 0.33 eV per atom
**Density**: 12.1 g cm⁻³
**Offset from the most stable computed form**: 0.1907 eV per atom

=====

Results for total magnetic moment: 0.000; 0.000; 0.320; 1.094 (in μB/atom, following the order of the records).